# BeSbTe2Se PBE optimized geometry
data_BeSbTe2Se
_space_group_name_H-M_alt 'P 1'
_space_group_IT_number 1
_cell_length_a 4.894
_cell_length_b 4.894
_cell_length_c 5.092
_cell_angle_alpha 90.00
_cell_angle_beta 90.00
_cell_angle_gamma 90.00
loop_
_space_group_symop_operation_xyz
'x,y,z'
loop_
_atom_site_label
_atom_site_fract_x
_atom_site_fract_y
_atom_site_fract_z
_atom_site_occupancy
Te1 0.000 0.500 0.000 1
Te2 0.500 0.000 0.000 1
Sb1 0.000 0.000 0.500 1
Be1 0.000 0.000 0.000 1
Se1 0.500 0.500 0.500 1
# Formation energy from raw total energies (kJ/mol of formula units): 218.8
# ρ (g/cm3): 6.33